Ac3Pm2Nd7 after structural relaxation, computed with GGA-PBE.

Cell: 20.210 20.210 3.765 Å, 90.00 90.00 162.85°
Sites, in units of the cell vectors:
Ac 0.000 0.000 0.000
Ac 0.316 0.684 0.500
Ac 0.684 0.316 0.500
Pm 0.147 0.853 0.000
Pm 0.853 0.147 0.000
Nd 0.075 0.925 0.500
Nd 0.230 0.770 0.000
Nd 0.411 0.589 0.000
Nd 0.500 0.500 0.500
Nd 0.589 0.411 0.000
Nd 0.770 0.230 0.000
Nd 0.925 0.075 0.500

Computed properties:
- Crystal system: orthorhombic
- Formation energy: 0.107 eV per atom
- Space group: Cmmm, No. 65
- E: -0.165 Ha/atom